Ca2TbReO8 PBE relaxed; raw formation energy = -26.82 eV per formula unit; E_tot = -87.569 eV per formula unit; magnetic moment = 0.0 μB per formula unit
1.0
-0.754 -3.741 3.652
0.318 -3.328 -3.273
6.538 -0.358 0.975
Ca Tb Re O
2 1 1 8
Cartesian
4.781 -3.805 0.937 Ca
1.321 -3.622 0.417 Ca
3.269 -0.179 0.487 Tb
0.000 0.000 0.000 Re
1.563 -3.119 -1.817 O
6.250 -5.595 0.992 O
0.829 -4.097 2.617 O
4.539 -4.309 3.171 O
-0.148 -1.832 0.362 O
5.273 -3.330 -1.263 O
3.115 -5.151 -0.247 O
2.987 -2.277 1.601 O


Sm8GaBi2 PBE relaxed; E_form = -356 meV per atom; E_tot = -52.458 eV per formula unit; magnetic moment = 0.0 μB per formula unit
1.0
4.950 0.000 0.000
0.000 7.330 0.799
-2.475 -2.021 9.368
Sm Ga Bi
8 1 2
Cartesian
0.000 1.962 7.992 Sm
2.475 -0.286 2.959 Sm
2.475 3.570 5.830 Sm
2.475 -0.312 9.522 Sm
0.000 1.739 4.337 Sm
0.000 5.596 7.207 Sm
2.475 3.348 2.174 Sm
0.000 5.621 0.645 Sm
2.475 0.000 0.000 Ga
2.475 0.285 6.234 Bi
0.000 5.024 3.933 Bi


Zr2AgO PBE relaxed; raw formation energy = -4.08 eV per formula unit; E_tot = -28.981 eV per formula unit; magnetic moment = 0.0 μB per formula unit
1.0
-3.474 -5.205 -2.044
3.486 -3.897 4.000
-2.288 -4.012 3.503
O Zr Ag
2 4 2
Cartesian
0.006 -4.551 0.978 O
0.602 -6.230 4.241 O
-1.982 -4.255 0.290 Zr
0.847 -4.578 2.929 Zr
-1.385 -6.788 3.736 Zr
-2.033 -10.608 3.964 Zr
0.000 0.000 0.000 Ag
-2.878 -6.884 1.219 Ag


TbNd2HoS6 PBE relaxed; raw formation energy = -20.37 eV per formula unit; E_tot = -63.875 eV per formula unit; magnetic moment = 0.0 μB per formula unit
1.0
-5.626 -1.331 4.051
-4.836 -4.692 -2.106
-0.349 -6.533 3.521
Tb Nd Ho S
1 2 1 6
Cartesian
-3.324 -2.243 0.798 Tb
-5.609 -5.984 2.546 Nd
-0.557 -6.233 3.331 Nd
-8.735 -8.512 3.525 Ho
-4.486 -3.438 2.954 S
-5.727 -6.328 -0.243 S
-8.281 -5.785 3.404 S
-6.108 -8.817 2.950 S
-4.725 -6.375 5.286 S
-2.965 -7.128 2.176 S


Look up the magnetic moment of the third one.
0.0 μB per formula unit


Which of these has the lowest E_tot?
Ca2TbReO8


Which formula does entry 1 have?
Ca2TbReO8


What is the E_tot in the third record?
-28.981 eV per formula unit